1.
DFT (PBE) results for CoSiN2 after structural relaxation.

## Properties
Volume: 9.42 Å³/atom
Spin magnetization: 5.1 μB per cell
Formation energy from raw total energies: -0.126 eV per atom
ρ: 5.07 Mg/m³

Cell: 2.7750 2.7750 16.9486 Å, 90.00 90.00 120.00°
Space group R-3m (No. 166, hexagonal axes)
Unique sites:
Co1 0.0000 0.0000 0.0000
Si1 0.0000 0.0000 0.5000
N1 0.0000 0.0000 0.1076


2.
DFT (PBE) results for Ti3BiSe after structural relaxation.

## Properties
Volume: 29.24 Å³/atom
Offset from the most stable computed form: 1348 meV per atom
Spin magnetization: 6.8 μB per cell
Formation energy from raw total energies: 0.979 eV per atom
ρ: 4.90 Mg/m³

Cell: 5.2679 5.2679 5.2679 Å, 90.00 90.00 90.00°
Space group Pm-3m (No. 221)
Unique sites:
Ti1 0.0000 0.0000 0.5000
Bi1 0.0000 0.0000 0.0000
Se1 0.5000 0.5000 0.5000


What did the second record say?
DFT (PBE) results for Ti3BiSe after structural relaxation.

## Properties
Volume: 29.24 Å³/atom
Offset from the most stable computed form: 1348 meV per atom
Spin magnetization: 6.8 μB per cell
Formation energy from raw total energies: 0.979 eV per atom
ρ: 4.90 Mg/m³

Cell: 5.2679 5.2679 5.2679 Å, 90.00 90.00 90.00°
Space group Pm-3m (No. 221)
Unique sites:
Ti1 0.0000 0.0000 0.5000
Bi1 0.0000 0.0000 0.0000
Se1 0.5000 0.5000 0.5000


Question: volume of number 1 (CoSiN2)?
Answer: 9.42 Å³/atom


Question: Number 2 is which compound?
Answer: Ti3BiSe